No. 1
# CsHgGe2Sb PBE-GGA relaxed
data_CsHgGe2Sb
_chemical_formula_sum 'Cs1 Hg1 Ge2 Sb1'
_space_group_name_H-M_alt 'P 4/m m m'
_space_group_IT_number 123
_space_group_name_Hall '-P 4 2'
_cell_length_a 5.420
_cell_length_b 5.420
_cell_length_c 6.183
_cell_angle_alpha 90.00
_cell_angle_beta 90.00
_cell_angle_gamma 90.00
loop_
_atom_site_label
_atom_site_fract_x
_atom_site_fract_y
_atom_site_fract_z
Cs1 0.000 0.000 0.000
Hg1 0.000 0.000 0.500
Ge1 0.000 0.500 0.500
Sb1 0.500 0.500 0.000
# - electronic total energy (eV/cell) = -11.1
# - volume (A^3/atom) = 36.328
# - crystal system = tetragonal



No. 2
# ZrSbRh3 PBE-GGA relaxed
data_ZrSbRh3
_chemical_formula_sum 'Zr1 Sb1 Rh3'
_space_group_name_H-M_alt 'P m -3 m'
_space_group_IT_number 221
_space_group_name_Hall '-P 4 2 3'
_cell_length_a 4.757
_cell_length_b 4.757
_cell_length_c 4.757
_cell_angle_alpha 90.00
_cell_angle_beta 90.00
_cell_angle_gamma 90.00
loop_
_atom_site_label
_atom_site_fract_x
_atom_site_fract_y
_atom_site_fract_z
Zr1 0.000 0.000 0.000
Sb1 0.500 0.500 0.500
Rh1 0.000 0.500 0.500
# - electronic total energy (eV/cell) = -32.0
# - volume (A^3/atom) = 21.530
# - crystal system = cubic
# - offset from the most stable computed form (eV/atom) = 0.000



Number 2 is which compound?
ZrSbRh3



What did the second record say?
# ZrSbRh3 PBE-GGA relaxed
data_ZrSbRh3
_chemical_formula_sum 'Zr1 Sb1 Rh3'
_space_group_name_H-M_alt 'P m -3 m'
_space_group_IT_number 221
_space_group_name_Hall '-P 4 2 3'
_cell_length_a 4.757
_cell_length_b 4.757
_cell_length_c 4.757
_cell_angle_alpha 90.00
_cell_angle_beta 90.00
_cell_angle_gamma 90.00
loop_
_atom_site_label
_atom_site_fract_x
_atom_site_fract_y
_atom_site_fract_z
Zr1 0.000 0.000 0.000
Sb1 0.500 0.500 0.500
Rh1 0.000 0.500 0.500
# - electronic total energy (eV/cell) = -32.0
# - volume (A^3/atom) = 21.530
# - crystal system = cubic
# - offset from the most stable computed form (eV/atom) = 0.000



Number 2 is which compound?
ZrSbRh3



The lowest electronic total energy belongs to which entry?
ZrSbRh3